Entry 1:
Material: LiLa2Te
Method: DFT, meta-GGA SCAN
State: PBEsol geometry

Cell: 4.421 6.356 6.356 Å, 39.85 90.00 90.00°
Positions (direct):
Li 0.000 0.000 0.000
La 0.000 0.284 0.284
La 0.500 0.588 0.588
Te 0.500 0.865 0.865

Results
Raw formation energy   -821 meV per atom
Calculated volume   114.46 Å³/cell


Entry 2:
Material: LiLaTi2
Method: DFT, meta-GGA SCAN
State: PBEsol geometry

Cell: 4.763 4.763 4.763 Å, 60.00 60.00 60.00°
Positions (direct):
Li 0.000 0.000 0.000
La 0.500 0.500 0.500
Ti 0.250 0.250 0.250
Ti 0.750 0.750 0.750

Results
ΔE to the lowest computed polymorph   70 meV per atom
Formation energy   59.8 kJ per mole of atoms
Calculated volume   76.39 Å³/cell


Entry 3:
Material: LiLaTi2
Method: DFT, meta-GGA SCAN
State: PBEsol geometry

Cell: 10.522 10.522 10.522 Å, 158.20 158.20 31.02°
Positions (direct):
Li 0.000 0.000 0.000
Li 0.750 0.250 0.500
La 0.250 0.750 0.500
La 0.500 0.500 0.000
Ti 0.117 0.625 0.992
Ti 0.375 0.367 0.492
Ti 0.633 0.125 0.008
Ti 0.875 0.883 0.508

Results
ΔE to the lowest computed polymorph   0 meV per atom
Formation energy   53.0 kJ per mole of atoms
Calculated volume   160.53 Å³/cell


Entry 4:
Material: Li2LaTl
Method: DFT, meta-GGA SCAN
State: PBEsol geometry

Cell: 10.613 10.613 10.613 Å, 154.90 154.90 35.79°
Positions (direct):
Li 0.009 0.625 0.884
Li 0.375 0.259 0.384
Li 0.741 0.125 0.116
Li 0.875 0.991 0.616
La 0.250 0.750 0.500
La 0.500 0.500 0.000
Tl 0.000 0.000 0.000
Tl 0.750 0.250 0.500

Results
ΔE to the lowest computed polymorph   281 meV per atom
Formation energy   -13.5 kJ per mole of atoms
Calculated volume   214.85 Å³/cell


Entry 5:
Material: LiLa3Tl
Method: DFT, meta-GGA SCAN
State: PBEsol geometry

Cell: 5.272 5.272 5.272 Å, 90.00 90.00 90.00°
Positions (direct):
Li 0.000 0.000 0.000
La 0.000 0.000 0.500
La 0.000 0.500 0.000
La 0.500 0.000 0.000
Tl 0.500 0.500 0.500

Results
Formation energy   12.9 kJ per mole of atoms
Calculated volume   146.55 Å³/cell


Entry 6:
Material: Li2LaTl
Method: DFT, meta-GGA SCAN
State: PBEsol geometry

Cell: 3.324 5.213 5.819 Å, 90.00 93.25 90.00°
Positions (direct):
Li 0.153 0.000 0.277
Li 0.847 0.000 0.723
La 0.500 0.500 0.000
Tl 0.000 0.500 0.500

Results
ΔE to the lowest computed polymorph   205 meV per atom
Formation energy   -20.8 kJ per mole of atoms
Calculated volume   100.67 Å³/cell


Entry 7:
Material: Li2LaTl
Method: DFT, meta-GGA SCAN
State: PBEsol geometry

Cell: 3.512 3.512 7.473 Å, 90.00 90.00 90.00°
Positions (direct):
Li 0.000 0.000 0.194
Li 0.000 0.000 0.806
La 0.500 0.500 0.500
Tl 0.500 0.500 0.000

Results
ΔE to the lowest computed polymorph   251 meV per atom
Formation energy   -16.4 kJ per mole of atoms
Calculated volume   92.14 Å³/cell


Entry 8:
Material: Li2LaTl
Method: DFT, meta-GGA SCAN
State: PBEsol geometry

Cell: 4.962 4.962 4.962 Å, 60.00 60.00 60.00°
Positions (direct):
Li 0.250 0.250 0.250
Li 0.750 0.750 0.750
La 0.000 0.000 0.000
Tl 0.500 0.500 0.500

Results
ΔE to the lowest computed polymorph   0 meV per atom
Formation energy   -40.6 kJ per mole of atoms
Calculated volume   86.40 Å³/cell


> Number 2 is which compound?

LiLaTi2